This record from Alexandria via LeMat-Bulk describes MgPt5 after structural relaxation. The functional is GGA-PBE.

abc: 5.2531 5.2531 5.2531
angles: 60.00 60.00 60.00
Fractional coordinates of all 6 atoms:
Mg 0.0000 0.0000 0.0000
Pt 0.1256 0.6248 0.6248
Pt 0.2500 0.2500 0.2500
Pt 0.6248 0.1256 0.6248
Pt 0.6248 0.6248 0.1256
Pt 0.6248 0.6248 0.6248

size of the total moment = 0.00 μB per formula unit
ΔH_f (0 K) = -183 meV/atom
energy = -5.48 eV/atom



This record from Alexandria via LeMat-Bulk describes Rb4La3ErS8 after structural relaxation. The functional is GGA-PBE.

abc: 9.1274 9.1274 9.1274
angles: 55.58 55.58 55.58
Fractional coordinates of all 16 atoms:
Rb 0.0000 0.0000 0.0000
Rb 0.0000 0.5000 0.5000
Rb 0.5000 0.0000 0.5000
Rb 0.5000 0.5000 0.0000
La 0.0000 0.0000 0.5000
La 0.0000 0.5000 0.0000
La 0.5000 0.0000 0.0000
Er 0.5000 0.5000 0.5000
S 0.2331 0.2331 0.2331
S 0.2441 0.7250 0.7250
S 0.2750 0.2750 0.7559
S 0.2750 0.7559 0.2750
S 0.7250 0.2441 0.7250
S 0.7250 0.7250 0.2441
S 0.7559 0.2750 0.2750
S 0.7669 0.7669 0.7669

size of the total moment = 0.00 μB per formula unit
ΔE_f (raw) = -1.879 eV/atom
energy = -5.39 eV/atom



This record from Alexandria via LeMat-Bulk describes GaB2Ir2 after structural relaxation. The functional is GGA-PBE.

abc: 6.4256 6.4256 6.4256
angles: 151.97 151.97 40.06
Fractional coordinates of all 5 atoms:
Ga 0.0000 0.0000 0.0000
B 0.2500 0.7500 0.5000
B 0.7500 0.2500 0.5000
Ir 0.3755 0.3755 0.0000
Ir 0.6245 0.6245 0.0000

offset from the most stable computed form = 0.000 eV per atom
size of the total moment = 0.00 μB per formula unit
ΔH_f (0 K) = -285 meV/atom
energy = -7.11 eV/atom



This record from Alexandria via LeMat-Bulk describes Na2NdCu9 after structural relaxation. The functional is GGA-PBE.

abc: 8.9012 8.9012 8.9012
angles: 33.25 33.25 33.25
Fractional coordinates of all 12 atoms:
Na 0.1463 0.1463 0.1463
Na 0.8537 0.8537 0.8537
Nd 0.0000 0.0000 0.0000
Cu 0.0850 0.5800 0.5800
Cu 0.3319 0.3319 0.3319
Cu 0.4200 0.4200 0.9150
Cu 0.4200 0.9150 0.4200
Cu 0.5000 0.5000 0.5000
Cu 0.5800 0.0850 0.5800
Cu 0.5800 0.5800 0.0850
Cu 0.6681 0.6681 0.6681
Cu 0.9150 0.4200 0.4200

size of the total moment = 0.00 μB per formula unit
ΔH_f (0 K) = -33 meV/atom
energy = -3.72 eV/atom



This record from Alexandria via LeMat-Bulk describes Tl2Pd2O7 after structural relaxation. The functional is GGA-PBE.

abc: 7.2777 7.2777 7.2777
angles: 60.00 60.00 60.00
Fractional coordinates of all 22 atoms:
Tl 0.0000 0.0000 0.0000
Tl 0.0000 0.0000 0.5000
Tl 0.0000 0.5000 0.0000
Tl 0.5000 0.0000 0.0000
Pd 0.0000 0.5000 0.5000
Pd 0.5000 0.0000 0.5000
Pd 0.5000 0.5000 0.0000
Pd 0.5000 0.5000 0.5000
O 0.1250 0.1250 0.1250
O 0.1651 0.1651 0.5849
O 0.1651 0.5849 0.1651
O 0.1651 0.5849 0.5849
O 0.4151 0.4151 0.8349
O 0.4151 0.8349 0.4151
O 0.4151 0.8349 0.8349
O 0.5849 0.1651 0.1651
O 0.5849 0.1651 0.5849
O 0.5849 0.5849 0.1651
O 0.8349 0.4151 0.4151
O 0.8349 0.4151 0.8349
O 0.8349 0.8349 0.4151
O 0.8750 0.8750 0.8750

size of the total moment = 0.00 μB per formula unit
ΔE_f (raw) = -0.580 eV/atom
energy = -5.11 eV/atom



This record from Alexandria via LeMat-Bulk describes SrSmCuPt after structural relaxation. The functional is GGA-PBE.

abc: 5.1192 5.1192 5.1192
angles: 60.00 60.00 60.00
Fractional coordinates of all 4 atoms:
Sr 0.0000 0.0000 0.0000
Sm 0.5000 0.5000 0.5000
Cu 0.7500 0.7500 0.7500
Pt 0.2500 0.2500 0.2500

size of the total moment = 0.00 μB per formula unit
ΔH_f (0 K) = -482 meV/atom
energy = -4.62 eV/atom